*A*
{"formula": "CuNi3W", "functional": "PBE-GGA", "state": "optimized geometry", "vol_a3_per_atom": 12.9, "magnetic_moment_mub_per_cell": 0.0, "lattice_angstrom": [[4.394, 0.000, 0.000], [0.000, 4.103, -2.177], [0.000, 0.914, 6.678]], "species": ["Cu", "Cu", "W", "W", "Ni", "Ni", "Ni", "Ni", "Ni", "Ni"], "frac_coords": [[0.750, 0.438, 0.876], [0.250, 0.562, 0.124], [0.250, 0.189, 0.377], [0.750, 0.811, 0.623], [0.250, 0.604, 0.715], [0.750, 0.396, 0.285], [0.000, 0.000, 0.000], [0.500, 0.000, 0.000], [0.750, 0.889, 0.285], [0.250, 0.111, 0.715]]}

*B*
{"formula": "CuNi3W", "functional": "PBE-GGA", "state": "optimized geometry", "vol_a3_per_atom": 14.6, "magnetic_moment_mub_per_cell": 3.2, "lattice_angstrom": [[-3.318, -0.740, -2.429], [-0.116, -3.948, 1.361], [-2.536, 1.148, 3.115]], "species": ["Cu", "W", "Ni", "Ni", "Ni"], "frac_coords": [[0.000, 0.000, 0.000], [0.500, 0.500, 0.500], [0.000, 0.500, 0.000], [0.500, 0.000, 0.000], [0.000, 0.000, 0.500]]}

Stability summary: most stable *A*, least stable *B*.

*A*
{"formula": "YCu3Ni", "functional": "PBE-GGA", "state": "optimized geometry", "vol_a3_per_atom": 24.5, "magnetic_moment_mub_per_cell": 0.8, "lattice_angstrom": [[4.966, 0.000, 0.000], [0.000, 4.966, 0.000], [0.000, 0.000, 4.966]], "species": ["Cu", "Cu", "Cu", "Ni", "Y"], "frac_coords": [[0.500, 0.000, 0.000], [0.000, 0.000, 0.500], [0.000, 0.500, 0.000], [0.500, 0.500, 0.500], [0.000, 0.000, 0.000]]}

*B*
{"formula": "YCu3Ni", "functional": "PBE-GGA", "state": "optimized geometry", "vol_a3_per_atom": 15.3, "magnetic_moment_mub_per_cell": 0.0, "lattice_angstrom": [[4.871, 0.000, 0.000], [0.000, 4.895, -2.048], [0.000, -0.165, 6.480]], "species": ["Cu", "Cu", "Cu", "Cu", "Cu", "Cu", "Y", "Y", "Ni", "Ni"], "frac_coords": [[0.250, 0.381, 0.296], [0.750, 0.619, 0.704], [0.250, 0.814, 0.628], [0.750, 0.186, 0.372], [0.750, 0.085, 0.704], [0.250, 0.915, 0.296], [0.750, 0.606, 0.211], [0.250, 0.394, 0.789], [0.000, 0.000, 0.000], [0.500, 0.000, 0.000]]}

*C*
{"formula": "YCu3Ni", "functional": "PBE-GGA", "state": "optimized geometry", "vol_a3_per_atom": 17.6, "magnetic_moment_mub_per_cell": 0.0, "lattice_angstrom": [[4.449, 0.000, 0.000], [0.000, 4.449, 0.000], [0.000, 0.000, 4.449]], "species": ["Cu", "Cu", "Cu", "Ni", "Y"], "frac_coords": [[0.000, 0.500, 0.000], [0.000, 0.000, 0.500], [0.500, 0.000, 0.000], [0.000, 0.000, 0.000], [0.500, 0.500, 0.500]]}

*D*
{"formula": "YCu3Ni", "functional": "PBE-GGA", "state": "optimized geometry", "vol_a3_per_atom": 17.7, "magnetic_moment_mub_per_cell": 0.0, "lattice_angstrom": [[-1.091, 4.282, -0.517], [-2.854, -1.278, -4.566], [-5.886, -1.022, 3.964]], "species": ["Cu", "Cu", "Cu", "Cu", "Cu", "Cu", "Ni", "Ni", "Y", "Y"], "frac_coords": [[0.500, 0.500, 0.000], [0.000, 0.245, 0.247], [0.000, 0.255, 0.747], [0.500, 0.000, 0.500], [0.000, 0.755, 0.753], [0.000, 0.745, 0.253], [0.000, 0.000, 0.500], [0.000, 0.500, 0.000], [0.500, 0.000, 0.000], [0.500, 0.500, 0.500]]}

Stability summary: most stable *B*, least stable *A*.

*A*
{"formula": "Y4CuNi", "functional": "PBE-GGA", "state": "optimized geometry", "vol_a3_per_atom": 26.7, "magnetic_moment_mub_per_cell": 0.0, "lattice_angstrom": [[3.805, 2.494, 4.063], [-1.162, 5.543, 2.264], [-1.727, 0.618, 5.817]], "species": ["Y", "Y", "Y", "Y", "Ni", "Cu"], "frac_coords": [[0.876, 0.375, 0.375], [0.375, 0.876, 0.375], [0.375, 0.375, 0.876], [0.375, 0.375, 0.375], [0.000, 0.000, 0.000], [0.750, 0.750, 0.750]]}

*B*
{"formula": "Y4CuNi", "functional": "PBE-GGA", "state": "optimized geometry", "vol_a3_per_atom": 28.8, "magnetic_moment_mub_per_cell": 1.7, "lattice_angstrom": [[7.703, -0.378, 0.000], [-3.456, 6.895, 0.000], [-2.124, -3.259, 6.660]], "species": ["Y", "Y", "Y", "Y", "Y", "Y", "Y", "Y", "Ni", "Ni", "Cu", "Cu"], "frac_coords": [[0.210, 0.996, 0.214], [0.706, 0.505, 0.201], [0.255, 0.956, 0.701], [0.255, 0.553, 0.299], [0.746, 0.031, 0.286], [0.746, 0.460, 0.714], [0.781, 0.996, 0.786], [0.303, 0.505, 0.799], [0.507, 0.007, 0.500], [0.757, 0.757, 0.000], [0.992, 0.492, 0.500], [0.242, 0.242, 0.000]]}

Stability summary: most stable *B*, least stable *A*.

*A*
{"formula": "YCu2Ni4", "functional": "PBE-GGA", "state": "optimized geometry", "vol_a3_per_atom": 13.4, "magnetic_moment_mub_per_cell": 0.0, "lattice_angstrom": [[-4.081, 1.503, 2.107], [-0.626, -0.799, 4.922], [-0.165, 4.633, 1.940]], "species": ["Ni", "Ni", "Ni", "Ni", "Y", "Cu", "Cu"], "frac_coords": [[0.307, 0.385, 0.000], [0.693, 0.615, 0.000], [0.307, 0.000, 0.385], [0.693, 0.000, 0.615], [0.000, 0.000, 0.000], [0.250, 0.500, 0.500], [0.750, 0.500, 0.500]]}

*B*
{"formula": "YCu2Ni4", "functional": "PBE-GGA", "state": "optimized geometry", "vol_a3_per_atom": 17.5, "magnetic_moment_mub_per_cell": 1.4, "lattice_angstrom": [[-1.481, -4.880, 2.169], [4.943, 1.281, -2.152], [-0.185, 3.309, 4.442]], "species": ["Y", "Cu", "Cu", "Ni", "Ni", "Ni", "Ni"], "frac_coords": [[0.000, 0.000, 0.000], [0.250, 0.750, 0.500], [0.750, 0.250, 0.500], [0.500, 0.723, 0.223], [0.723, 0.500, 0.223], [0.277, 0.500, 0.777], [0.500, 0.277, 0.777]]}

Stability summary: most stable *A*, least stable *B*.

*A*
{"formula": "Zn5Cu2Ni", "functional": "PBE-GGA", "state": "optimized geometry", "vol_a3_per_atom": 13.1, "magnetic_moment_mub_per_cell": 0.0, "lattice_angstrom": [[-3.281, 0.673, 1.749], [0.524, -3.056, 2.160], [4.877, 5.310, 3.023]], "species": ["Ni", "Zn", "Zn", "Zn", "Zn", "Zn", "Cu", "Cu"], "frac_coords": [[0.000, 0.000, 0.000], [0.500, 0.500, 0.000], [0.126, 0.626, 0.252], [0.374, 0.874, 0.748], [0.874, 0.374, 0.748], [0.626, 0.126, 0.252], [0.249, 0.249, 0.497], [0.751, 0.751, 0.503]]}

*B*
{"formula": "Zn5Cu2Ni", "functional": "PBE-GGA", "state": "optimized geometry", "vol_a3_per_atom": 13.5, "magnetic_moment_mub_per_cell": 0.0, "lattice_angstrom": [[6.621, 0.000, 0.000], [0.000, 6.621, 0.000], [-3.311, -3.311, 4.935]], "species": ["Zn", "Zn", "Zn", "Zn", "Zn", "Zn", "Zn", "Zn", "Zn", "Zn", "Ni", "Ni", "Cu", "Cu", "Cu", "Cu"], "frac_coords": [[0.000, 0.000, 0.000], [0.492, 0.683, 0.676], [0.183, 0.992, 0.676], [0.683, 0.183, 0.676], [0.992, 0.492, 0.676], [0.500, 0.500, 0.000], [0.817, 0.008, 0.324], [0.508, 0.317, 0.324], [0.317, 0.817, 0.324], [0.008, 0.508, 0.324], [0.750, 0.750, 0.500], [0.250, 0.250, 0.500], [0.861, 0.639, 0.000], [0.139, 0.361, 0.000], [0.639, 0.139, 0.000], [0.361, 0.861, 0.000]]}

Stability summary: most stable *A*, least stable *B*.

*A*
{"formula": "ZnCuNi4", "functional": "PBE-GGA", "state": "optimized geometry", "vol_a3_per_atom": 11.9, "magnetic_moment_mub_per_cell": 2.1, "lattice_angstrom": [[-1.883, 1.763, -4.096], [-4.685, 1.144, -0.092], [1.535, 6.456, 2.074]], "species": ["Cu", "Cu", "Zn", "Zn", "Ni", "Ni", "Ni", "Ni", "Ni", "Ni", "Ni", "Ni"], "frac_coords": [[0.500, 0.250, 0.250], [0.500, 0.750, 0.750], [0.000, 0.750, 0.250], [0.000, 0.250, 0.750], [0.252, 0.000, 0.062], [0.252, 0.000, 0.438], [0.748, 0.500, 0.438], [0.252, 0.500, 0.562], [0.252, 0.500, 0.938], [0.748, 0.500, 0.062], [0.748, 0.000, 0.562], [0.748, 0.000, 0.938]]}

*B*
{"formula": "ZnCuNi4", "functional": "PBE-GGA", "state": "optimized geometry", "vol_a3_per_atom": 12.0, "magnetic_moment_mub_per_cell": 0.9, "lattice_angstrom": [[0.000, 3.303, 3.303], [3.303, 0.000, 3.303], [3.303, 3.303, 0.000]], "species": ["Ni", "Ni", "Ni", "Ni", "Cu", "Zn"], "frac_coords": [[0.375, 0.375, 0.875], [0.375, 0.875, 0.375], [0.875, 0.375, 0.375], [0.375, 0.375, 0.375], [0.000, 0.000, 0.000], [0.750, 0.750, 0.750]]}

*C*
{"formula": "ZnCuNi4", "functional": "PBE-GGA", "state": "optimized geometry", "vol_a3_per_atom": 11.4, "magnetic_moment_mub_per_cell": 1.2, "lattice_angstrom": [[3.399, 0.000, -1.153], [0.000, 3.590, 0.000], [0.007, 0.000, 5.609]], "species": ["Cu", "Ni", "Ni", "Ni", "Ni", "Zn"], "frac_coords": [[0.000, 0.000, 0.000], [0.329, 0.000, 0.658], [0.830, 0.500, 0.659], [0.170, 0.500, 0.341], [0.671, 0.000, 0.342], [0.500, 0.500, 0.000]]}

Stability summary: most stable *C*, least stable *A*.